MnP2PbS: optimized geometry, GGA-PBEsol.

a = 4.2377 Å, b = 4.2377 Å, c = 5.2506 Å
α = 90.00°, β = 90.00°, γ = 90.00°
Space group P4/mmm (No. 123)
One atom of each set of equivalent atoms:
Mn1 0.0000 0.0000 0.0000 x1
P1 0.0000 0.5000 0.0000 x2
Pb1 0.5000 0.5000 0.5000 x1
S1 0.0000 0.0000 0.5000 x1

Properties
The total energy comes out at -29.00 eV/cell. The raw formation energy is 0.15 eV per atom.